--- P ---
# GGA-PBE LiAc2Y, relaxed
# DOS at the Fermi energy, states/eV per cell: 18.30
# M_tot, μB/cell: 0.0
# Volume, Å³/atom: 36.52
data_LiAc2Y
_cell_length_a 8.360
_cell_length_b 8.360
_cell_length_c 8.360
_cell_angle_alpha 90.00
_cell_angle_beta 90.00
_cell_angle_gamma 90.00
_space_group_name_H-M_alt 'F m -3 m'
_space_group_IT_number 225
_space_group_name_Hall '-F 4 2 3'
loop_
_atom_site_label
_atom_site_fract_x
_atom_site_fract_y
_atom_site_fract_z
Li1 0.000 0.000 0.000
Ac1 0.250 0.250 0.250
Y1 0.000 0.000 0.500

--- Q ---
# GGA-PBE LiAc2Y, relaxed
# DOS at the Fermi energy, states/eV per cell: 14.25
# M_tot, μB/cell: 0.0
# Volume, Å³/atom: 39.90
data_LiAc2Y
_cell_length_a 3.7814
_cell_length_b 3.7814
_cell_length_c 38.6673
_cell_angle_alpha 90.00
_cell_angle_beta 90.00
_cell_angle_gamma 120.00
_space_group_name_H-M_alt 'R -3 m'
_space_group_IT_number 166
_space_group_name_Hall '-R 3 2"'
loop_
_atom_site_label
_atom_site_fract_x
_atom_site_fract_y
_atom_site_fract_z
Li1 0.0000 0.0000 0.0000
Ac1 0.0000 0.0000 0.0893
Y1 0.0000 0.0000 0.5000

Least stable = Q

--- P ---
# GGA-PBE Li3Ac2Zn4, relaxed
# DOS at the Fermi energy, states/eV per cell: 17.64
# M_tot, μB/cell: 0.0
# Volume, Å³/atom: 23.57
data_Li3Ac2Zn4
_cell_length_a 7.309
_cell_length_b 12.816
_cell_length_c 9.058
_cell_angle_alpha 90.00
_cell_angle_beta 90.00
_cell_angle_gamma 90.00
_space_group_name_H-M_alt 'I b a m'
_space_group_IT_number 72
_space_group_name_Hall '-I 2 2c'
loop_
_atom_site_label
_atom_site_fract_x
_atom_site_fract_y
_atom_site_fract_z
Li1 0.000 0.000 0.250
Li2 0.000 0.227 0.250
Ac1 0.211 0.382 0.000
Zn1 0.220 0.378 0.359

--- Q ---
# GGA-PBE Li3Ac2Zn4, relaxed
# DOS at the Fermi energy, states/eV per cell: 20.42
# M_tot, μB/cell: 0.0
# Volume, Å³/atom: 22.81
data_Li3Ac2Zn4
_cell_length_a 6.135
_cell_length_b 16.320
_cell_length_c 8.200
_cell_angle_alpha 90.00
_cell_angle_beta 90.00
_cell_angle_gamma 90.00
_space_group_name_H-M_alt 'C m c e'
_space_group_IT_number 64
_space_group_name_Hall '-C 2ac 2'
loop_
_atom_site_label
_atom_site_fract_x
_atom_site_fract_y
_atom_site_fract_z
Li1 0.000 0.000 0.000
Li2 0.250 0.219 0.250
Ac1 0.000 0.115 0.585
Zn1 0.000 0.178 0.983
Zn2 0.250 0.055 0.250

Least stable = P